1.
Below is a relaxed structure of MgGa2Os, with properties calculated at the GGA-PBE level.

a b c (Å): 3.9890 3.9890 9.4467
angles (deg): 77.81 77.81 90.00
Each line ends with the local moment (μB).
Fractional positions:
Mg: 0.5000 0.5000 0.0000  0.00
Mg: 0.2500 0.7500 0.5000  0.00
Os: 0.0000 0.0000 0.0000  0.45
Os: 0.7500 0.2500 0.5000  0.44
Ga: 0.6682 0.1250 0.2500  0.01
Ga: 0.0818 0.6250 0.2500  0.01
Ga: 0.3750 0.3318 0.7500  0.01
Ga: 0.8750 0.9182 0.7500  0.01

Computed properties:
formation energy: 0.3583 eV/atom

2.
Below is a relaxed structure of Pm4TeAs2Se, with properties calculated at the GGA-PBE level.

a b c (Å): 4.2680 7.5163 7.3942
angles (deg): 70.82 90.00 90.00
Fractional positions:
Pm: 0.0000 0.7737 0.7353
Pm: 0.0000 0.2263 0.2647
Pm: 0.5000 0.7682 0.2506
Pm: 0.5000 0.2318 0.7494
Te: 0.5000 0.5000 0.0000
As: 0.0000 0.0000 0.0000
As: 0.5000 0.0000 0.5000
Se: 0.0000 0.5000 0.5000

Computed properties:
energy relative to the elements, uncorrected: -157 kJ/mol of atoms

3.
Below is a relaxed structure of LaCe4Ga5, with properties calculated at the GGA-PBE level.

a b c (Å): 3.6884 3.6884 18.1412
angles (deg): 90.00 90.00 90.00
Each line ends with the local moment (μB).
Fractional positions:
La: 0.0000 0.0000 0.0000  -0.02
Ce: 0.0000 0.0000 0.2059  0.65
Ce: 0.0000 0.0000 0.4023  0.64
Ce: 0.0000 0.0000 0.5977  0.64
Ce: 0.0000 0.0000 0.7941  0.65
Ga: 0.5000 0.5000 0.1068  0.00
Ga: 0.5000 0.5000 0.3045  0.02
Ga: 0.5000 0.5000 0.5000  0.01
Ga: 0.5000 0.5000 0.6955  0.02
Ga: 0.5000 0.5000 0.8932  0.00

Computed properties:
formation energy: -0.4693 eV/atom

4.
Below is a relaxed structure of TePtSeBr2, with properties calculated at the GGA-PBE level.

a b c (Å): 5.0914 5.0914 5.0515
angles (deg): 90.00 90.00 90.00
Fractional positions:
Te: 0.5000 0.5000 0.5000
Se: 0.0000 0.0000 0.5000
Br: 0.0000 0.5000 0.0000
Br: 0.5000 0.0000 0.0000
Pt: 0.0000 0.0000 0.0000

Computed properties:
E above lowest polymorph: 0.000 eV per formula unit
energy relative to the elements, uncorrected: 28 kJ/mol of atoms

5.
Below is a relaxed structure of KMn2I8, with properties calculated at the GGA-PBE level.

a b c (Å): 4.4114 11.7051 11.7051
angles (deg): 116.67 86.15 86.15
Each line ends with the local moment (μB).
Fractional positions:
K: 0.5000 0.0000 0.0000  0.00
Mn: 0.0000 0.8085 0.1915  4.10
Mn: 0.0000 0.1915 0.8085  4.10
I: 0.0495 0.9412 0.7224  0.00
I: 0.0495 0.7224 0.9412  0.00
I: 0.3605 0.6054 0.6054  -0.06
I: 0.5000 0.2715 0.7285  0.04
I: 0.5000 0.7285 0.2715  0.04
I: 0.6395 0.3946 0.3946  -0.06
I: 0.9505 0.2776 0.0588  0.00
I: 0.9505 0.0588 0.2776  0.00

Computed properties:
energy relative to the elements, uncorrected: -43 kJ/mol of atoms

6.
Below is a relaxed structure of LiTl3Sb2S6, with properties calculated at the GGA-PBE level.

a b c (Å): 6.8447 6.8447 7.4891
angles (deg): 98.40 98.40 120.21
Fractional positions:
Li: 0.0000 0.0000 0.0000
Tl: 0.1598 0.8402 0.5000
Tl: 0.8402 0.1598 0.5000
Tl: 0.5000 0.5000 0.5000
Sb: 0.3340 0.6660 0.0000
Sb: 0.6660 0.3340 0.0000
S: 0.9280 0.5876 0.7871
S: 0.7276 0.7276 0.1935
S: 0.0720 0.4124 0.2129
S: 0.5876 0.9280 0.7871
S: 0.2724 0.2724 0.8065
S: 0.4124 0.0720 0.2129

Computed properties:
energy relative to the elements, uncorrected: -37 kJ/mol of atoms

7.
Below is a relaxed structure of HoAl2S4, with properties calculated at the GGA-PBE level.

a b c (Å): 7.6723 7.8087 7.1924
angles (deg): 74.81 57.77 60.58
Fractional positions:
S: 0.1817 0.1826 0.7439
S: 0.6852 0.1564 0.7467
S: 0.1081 0.8174 0.2562
S: 0.5916 0.3436 0.2467
S: 0.1820 0.6563 0.7532
S: 0.5883 0.8436 0.2532
S: 0.1143 0.3174 0.2439
S: 0.6755 0.6826 0.7561
Ho: 0.6560 0.5000 0.5000
Ho: 0.9060 0.0000 0.0000
Al: 0.4910 0.6722 0.1265
Al: 0.2897 0.3278 0.8736
Al: 0.9132 0.8278 0.6265
Al: 0.3675 0.1722 0.3735

Computed properties:
E above lowest polymorph: 0.000 eV per formula unit
energy relative to the elements, uncorrected: -118 kJ/mol of atoms

8.
Below is a relaxed structure of TaZn2, with properties calculated at the GGA-PBE level.

a b c (Å): 4.6785 4.6785 4.6785
angles (deg): 145.69 114.91 75.68
Fractional positions:
Ta: 0.0000 0.0000 0.0000
Zn: 0.3288 0.8288 0.5000
Zn: 0.6712 0.1712 0.5000

Computed properties:
formation energy: 0.4843 eV/atom

9.
Below is a relaxed structure of YTh2Re, with properties calculated at the GGA-PBE level.

a b c (Å): 3.9692 3.9692 9.3809
angles (deg): 77.79 77.79 60.00
Fractional positions:
Y: 0.5000 0.5000 0.5000
Re: 0.0000 0.0000 0.0000
Th: 0.2730 0.2730 0.1811
Th: 0.7270 0.7270 0.8189

Computed properties:
formation energy: 0.2570 eV/atom
E above lowest polymorph: 0.472 eV per formula unit

10.
Below is a relaxed structure of Ag2SeO5, with properties calculated at the GGA-PBE level.

a b c (Å): 6.7243 9.4442 9.0812
angles (deg): 90.00 90.00 90.00
Fractional positions:
Ag: 0.2456 0.0000 0.0000
Ag: 0.7544 0.0000 0.0000
Ag: 0.0000 0.1203 0.6606
Ag: 0.5000 0.3797 0.1606
Ag: 0.2544 0.5000 0.5000
Ag: 0.7456 0.5000 0.5000
Ag: 0.5000 0.6203 0.8394
Ag: 0.0000 0.8797 0.3394
Se: 0.0000 0.2569 0.2820
Se: 0.5000 0.2431 0.7820
Se: 0.5000 0.7569 0.2180
Se: 0.0000 0.7431 0.7180
O: 0.0000 0.0637 0.8825
O: 0.5000 0.0798 0.8724
O: 0.0000 0.1285 0.4125
O: 0.2059 0.2492 0.1810
O: 0.7941 0.2492 0.1810
O: 0.2941 0.2508 0.6810
O: 0.7059 0.2508 0.6810
O: 0.5000 0.3715 0.9125
O: 0.0000 0.4202 0.3724
O: 0.5000 0.4363 0.3825
O: 0.5000 0.5637 0.6175
O: 0.0000 0.5798 0.6276
O: 0.5000 0.6285 0.0875
O: 0.2941 0.7492 0.3190
O: 0.7059 0.7492 0.3190
O: 0.2059 0.7508 0.8190
O: 0.7941 0.7508 0.8190
O: 0.0000 0.8715 0.5875
O: 0.5000 0.9202 0.1276
O: 0.0000 0.9363 0.1175

Computed properties:
energy relative to the elements, uncorrected: -30 kJ/mol of atoms

11.
Below is a relaxed structure of LaPbW, with properties calculated at the GGA-PBE level.

a b c (Å): 5.1661 5.1661 5.1661
angles (deg): 60.00 60.00 60.00
Each line ends with the local moment (μB).
Fractional positions:
La: 0.7500 0.7500 0.7500  0.19
Pb: 0.0000 0.0000 0.0000  -0.06
W: 0.5000 0.5000 0.5000  2.42

Computed properties:
formation energy: 1.4304 eV/atom
E above lowest polymorph: 2.581 eV per formula unit

12.
Below is a relaxed structure of NbIr2W2, with properties calculated at the GGA-PBE level.

a b c (Å): 7.6882 7.6882 2.7865
angles (deg): 90.00 90.00 90.00
Fractional positions:
Nb: 0.0000 0.0000 0.0000
Nb: 0.5000 0.5000 0.0000
Ir: 0.1727 0.6727 0.5000
Ir: 0.6727 0.8273 0.5000
Ir: 0.8273 0.3273 0.5000
Ir: 0.3273 0.1727 0.5000
W: 0.3769 0.8769 0.0000
W: 0.8769 0.6231 0.0000
W: 0.6231 0.1231 0.0000
W: 0.1231 0.3769 0.0000

Computed properties:
formation energy: -0.0690 eV/atom
E above lowest polymorph: 0.343 eV per formula unit

13.
Below is a relaxed structure of CrAgBr2, with properties calculated at the GGA-PBE level.

a b c (Å): 4.0059 6.7359 3.8356
angles (deg): 90.00 90.00 90.00
Each line ends with the local moment (μB).
Fractional positions:
Ag: 0.0000 0.5000 0.5000  0.00
Br: 0.0000 0.0000 0.0000  0.00
Br: 0.5000 0.5000 0.0000  0.03
Cr: 0.5000 0.0000 0.5000  4.21

Computed properties:
E above lowest polymorph: 0.361 eV per formula unit
energy relative to the elements, uncorrected: 0 kJ/mol of atoms

14.
Below is a relaxed structure of Rb2TaPF6, with properties calculated at the GGA-PBE level.

a b c (Å): 7.0077 7.0077 7.2731
angles (deg): 61.20 61.20 90.00
Each line ends with the local moment (μB).
Fractional positions:
P: 0.5000 0.5000 0.0000  0.78
F: 0.1819 0.1819 0.6362  0.00
F: 0.8181 0.8181 0.3638  0.00
F: 0.1947 0.1947 0.0000  0.01
F: 0.8053 0.8053 0.0000  0.01
F: 0.8053 0.1947 0.0000  0.01
F: 0.1947 0.8053 0.0000  0.01
Rb: 0.7500 0.2500 0.5000  0.00
Rb: 0.2500 0.7500 0.5000  0.00
Ta: 0.0000 0.0000 0.0000  -0.06

Computed properties:
energy relative to the elements, uncorrected: -224 kJ/mol of atoms

no.,DOS(E_F) (states/eV/atom),total DFT energy (no corrections) (eV/atom)
1,0.887,-4.361
2,0.436,-5.994
3,2.317,-4.849
4,0.878,-2.913
5,0.513,-3.343
6,0.532,-3.882
7,0.343,-5.307
8,0.804,-4.316
9,1.206,-8.181
10,0.147,-4.561
11,0.907,-5.766
12,0.825,-10.809
13,0.192,-3.956
14,0.002,-5.363